[1]
Density functional theory data (PBE) for Ba2ZrGaSi after structural relaxation.

a b c (Å): 6.1214 6.1214 5.1969
angles (deg): 90.00 90.00 90.00
Atoms (fractional coordinates):
Ba 0.0000 0.5000 0.0000
Ba 0.5000 0.0000 0.0000
Zr 0.0000 0.0000 0.5000
Ga 0.0000 0.0000 0.0000
Si 0.5000 0.5000 0.5000

## Properties
* DFT total energy: -3.634 eV/atom
* raw formation energy: 2.7 eV/f.u.


[2]
Density functional theory data (PBE) for BaZrGaSi2 after structural relaxation.

a b c (Å): 5.1893 5.1893 5.8969
angles (deg): 90.00 90.00 90.00
Atoms (fractional coordinates):
Ba 0.0000 0.0000 0.0000
Zr 0.0000 0.0000 0.5000
Ga 0.5000 0.5000 0.0000
Si 0.0000 0.5000 0.5000
Si 0.5000 0.0000 0.5000

## Properties
* DFT total energy: -4.277 eV/atom
* raw formation energy: 3.0 eV/f.u.


[3]
Density functional theory data (PBE) for BaSmGa after structural relaxation.

a b c (Å): 14.1817 3.8345 3.8345
angles (deg): 89.93 90.00 90.00
Atoms (fractional coordinates):
Ba 0.1529 0.0000 0.0000
Ba 0.8471 0.0000 0.0000
Sm 0.3855 0.4976 0.4976
Sm 0.6145 0.4976 0.4976
Ga 0.0000 0.5003 0.5003
Ga 0.5000 0.9975 0.9975

## Properties
* DFT total energy: -3.426 eV/atom
* energy relative to the elements: -0.20 eV/atom
* ΔE to the lowest computed polymorph: 34 meV/atom


DFT total energy of number 3 (BaSmGa)? -3.426 eV/atom


What is the formula in the third record? BaSmGa